VASP calculation (GGA-PBE) on a geometry-optimized CsTcAgTe2Se structure.

As for the total energy: -0.307 Ry per atom.

The structure belongs to space group Cmcm (No. 63); the cell edges are 4.059, 17.121 and 10.537 Å and the angles 90.00°, 90.00° and 90.00°. Symmetry generates all atoms from Cs at (0.000, 0.244, 0.250), Tc at (0.000, 0.000, 0.000), Ag at (0.000, 0.461, 0.750), Te at (0.000, 0.389, 0.521) and Se at (0.000, 0.058, 0.750).

***

VASP calculation (GGA-PBE) on a geometry-optimized CsTcAgTe2Se structure.

As for the total energy: -0.315 Ry per atom.

The structure belongs to space group P2_1/m (No. 11); the cell edges are 9.278, 4.012 and 10.810 Å and the angles 90.00°, 113.55° and 90.00°. Symmetry generates all atoms from Cs at (0.244, 0.250, 0.227), Tc at (0.162, 0.750, 0.637), Ag at (0.442, 0.250, 0.897), Te at (0.229, 0.750, 0.912), Te at (0.363, 0.250, 0.621) and Se at (0.027, 0.750, 0.378).

***

VASP calculation (GGA-PBE) on a geometry-optimized CsAgTeWSe2 structure.

As for the total energy: -0.344 Ry per atom.

The structure belongs to space group Cmcm (No. 63); the cell edges are 3.989, 16.843 and 10.643 Å and the angles 90.00°, 90.00° and 90.00°. Symmetry generates all atoms from Cs at (0.000, 0.233, 0.250), Ag at (0.000, 0.456, 0.750), Te at (0.000, 0.071, 0.750), W at (0.000, 0.000, 0.000) and Se at (0.000, 0.398, 0.528).